Below is ScIn2Ni2 after structural relaxation, with properties calculated at the PBE-GGA level.

Summary:
The energy above the most stable polymorph in this dataset comes out at 0.243 eV per atom. Its space group is No. 127.

Cell lengths 7.7002, 7.7002, 2.9414 Å; angles 90.00, 90.00, 90.00 degrees
Last column: nearest neighbours and their distance in Å.
Positions (direct):
Ni  0.6663  0.8337  0.5000  6 In 2.62-2.75
In  0.1340  0.3660  0.0000  6 Ni 2.62-2.75, 1 In 2.92
In  0.8660  0.6340  0.0000  6 Ni 2.62-2.75, 1 In 2.92
Ni  0.3337  0.1663  0.5000  6 In 2.62-2.75
Sc  0.5000  0.5000  0.0000  2 Sc 2.94, 4 In 3.00, 8 Ni 3.23
Ni  0.8337  0.3337  0.5000  6 In 2.62-2.75
In  0.6340  0.1340  0.0000  6 Ni 2.62-2.75, 1 In 2.92
Sc  0.0000  0.0000  0.0000  2 Sc 2.94, 4 In 3.00, 8 Ni 3.23
Ni  0.1663  0.6663  0.5000  6 In 2.62-2.75
In  0.3660  0.8660  0.0000  6 Ni 2.62-2.75, 1 In 2.92